Record 1
Entry from the Alexandria database: a relaxed TlPbS2N crystal (PBE).

Cell: 5.3328 5.3328 4.5875 Å, 90.00 90.00 90.00°
Closest atoms and distances in Å follow each position.
Fractional positions:
Tl 0.0000 0.0000 0.0000  8 S 3.52, 4 N 3.77
Pb 0.5000 0.5000 0.5000  2 N 2.29
S 0.0000 0.5000 0.5000  2 Pb 2.67
S 0.5000 0.0000 0.5000  2 Pb 2.67
N 0.5000 0.5000 0.0000  2 Pb 2.29

Values from the calculation:
- Fermi-level density of states (states/eV/atom) = 0.4273
- crystal system = tetragonal
- energy (eV per atom) = -3.76
- calculated density (g/cm³) = 6.23
- E_form (uncorrected) (eV per atom) = 0.77
- spin magnetization (μB/cell) = 2.15
- symmetry = P4/mmm (123)
- E above lowest polymorph (kcal/mol of atoms) = 0.00

Record 2
Entry from the Alexandria database: a relaxed CsLa2Ga2 crystal (PBE).

Cell: 9.3893 9.3893 3.6542 Å, 90.00 90.00 90.00°
Closest atoms and distances in Å follow each position.
Fractional positions:
Cs 0.0000 0.0000 0.0000  2 Cs 3.65, 4 Ga 3.77, 8 La 3.95
Cs 0.5000 0.5000 0.0000  2 Cs 3.65, 4 Ga 3.77, 8 La 3.95
La 0.1661 0.3339 0.5000  6 Ga 3.25-3.43
La 0.3339 0.8339 0.5000  6 Ga 3.25-3.43
La 0.6661 0.1661 0.5000  6 Ga 3.25-3.43
La 0.8339 0.6661 0.5000  6 Ga 3.25-3.43
Ga 0.1150 0.6150 0.0000  1 Ga 3.05, 4 La 3.25
Ga 0.3850 0.1150 0.0000  1 Ga 3.05, 4 La 3.25
Ga 0.6150 0.8850 0.0000  1 Ga 3.05, 4 La 3.25
Ga 0.8850 0.3850 0.0000  1 Ga 3.05, 4 La 3.25

Values from the calculation:
- Fermi-level density of states (states/eV/atom) = 0.8574
- crystal system = tetragonal
- energy relative to the elements (eV per formula unit) = -0.49
- energy (eV per atom) = -3.45
- calculated density (g/cm³) = 5.67
- spin magnetization (μB/cell) = 0.00
- symmetry = P4/mbm (127)
- E above lowest polymorph (kcal/mol of atoms) = 1.50